(1)
Density functional theory data (SCAN) for a crystal of In3TcBr relaxed with PBEsol.

Lattice parameters (Å, degrees): 5.5010 5.5010 5.5010 90.00 90.00 90.00
Atoms (fractional coordinates):
In 0.0000 0.0000 0.5000
In 0.0000 0.5000 0.0000
In 0.5000 0.0000 0.0000
Tc 0.5000 0.5000 0.5000
Br 0.0000 0.0000 0.0000

Results
**Symmetry**: Pm-3m
**Formation energy from raw total energies**: 6.1 eV per formula unit
**Crystal system**: cubic

***

(2)
Density functional theory data (SCAN) for a crystal of InTeBr2 relaxed with PBEsol.

Lattice parameters (Å, degrees): 7.4960 7.4960 4.5305 107.56 107.56 29.72
Atoms (fractional coordinates):
In 0.0000 0.0000 0.0000
Te 0.3178 0.3178 0.8193
Br 0.5615 0.5615 0.5622
Br 0.8026 0.8026 0.3042

Results
**Symmetry**: Cm
**Formation energy from raw total energies**: -0.9 eV per formula unit
**Crystal system**: monoclinic